Record 1
The following is a DFT calculation (PBE) of a relaxed Al2Zn5Pd12 crystal.

Summary:
Energy relative to the elements   -45.15 kJ/mol of atoms
E_tot   -4.477 eV per atom
Total moment   0.00 Bohr magnetons per cell

```
19
Lattice="6.305 -3.821 0.000 6.305 3.821 0.000 -0.393 0.000 6.059" Properties=species:S:1:pos:R:3 pbc="T T T"
Al 6.305 2.115 0.000
Al 6.305 -2.115 0.000
Zn -0.197 0.000 3.029
Zn 2.820 0.000 3.141
Zn 4.110 0.000 0.531
Zn 8.106 0.000 5.528
Zn 9.397 0.000 2.918
Pd 3.553 1.994 4.869
Pd 1.280 0.000 5.295
Pd 4.841 1.644 2.462
Pd 7.375 1.644 3.597
Pd 8.664 1.994 1.190
Pd 5.480 0.000 4.677
Pd 6.736 0.000 1.382
Pd 3.553 -1.994 4.869
Pd 4.841 -1.644 2.462
Pd 7.375 -1.644 3.597
Pd 10.937 0.000 0.764
Pd 8.664 -1.994 1.190
```

Record 2
The following is a DFT calculation (PBE) of a relaxed NdHo10Er4 crystal.

Summary:
Energy relative to the elements   70.75 kJ/mol of atoms
E_tot   -3.853 eV per atom
Total moment   0.00 Bohr magnetons per cell

```
15
Lattice="-6.043 6.043 3.814 6.043 -6.043 3.814 6.043 6.043 -3.814" Properties=species:S:1:pos:R:3 pbc="T T T"
Nd 0.000 0.000 0.000
Ho 4.820 3.603 -1.891
Ho 2.440 -1.223 1.924
Ho 6.043 0.000 1.907
Ho 3.603 7.266 -1.891
Ho 1.223 2.440 1.924
Ho 4.820 3.603 1.891
Ho 2.440 -1.223 5.705
Ho 0.000 6.043 1.907
Ho 3.603 7.266 1.891
Ho 1.223 2.440 5.705
Er 7.244 2.410 0.000
Er 2.410 4.841 0.000
Er 3.633 1.201 3.814
Er -1.201 3.633 3.814
```

Record 3
The following is a DFT calculation (PBE) of a relaxed Pr2MgSb crystal.

Summary:
Uncorrected formation energy   -0.47 eV/atom
E_tot   -4.290 eV per atom
Total moment   0.00 Bohr magnetons per cell

```
16
Lattice="7.774 0.000 0.000 0.000 7.774 0.000 0.000 0.000 7.774" Properties=species:S:1:pos:R:3 pbc="T T T"
Pr 1.944 1.944 1.944
Pr 1.944 1.944 5.831
Pr 1.944 5.831 1.944
Pr 1.944 5.831 5.831
Pr 5.831 1.944 1.944
Pr 5.831 1.944 5.831
Pr 5.831 5.831 1.944
Pr 5.831 5.831 5.831
Mg 0.000 0.000 0.000
Mg 0.000 3.887 3.887
Mg 3.887 0.000 3.887
Mg 3.887 3.887 0.000
Sb 0.000 0.000 3.887
Sb 0.000 3.887 0.000
Sb 3.887 0.000 0.000
Sb 3.887 3.887 3.887
```

Record 4
The following is a DFT calculation (PBE) of a relaxed SmHoErZr crystal.

Summary:
Energy relative to the elements   21.07 kJ/mol of atoms
E_tot   -5.384 eV per atom
Total moment   7.42 Bohr magnetons per cell

```
16
Lattice="7.768 0.000 0.000 0.000 7.768 0.000 0.000 0.000 7.768" Properties=species:S:1:pos:R:3 pbc="T T T"
Sm 0.000 0.000 0.000
Sm 0.000 3.884 3.884
Sm 3.884 0.000 3.884
Sm 3.884 3.884 0.000
Ho 1.942 1.942 1.942
Ho 1.942 5.826 5.826
Ho 5.826 1.942 5.826
Ho 5.826 5.826 1.942
Er 1.942 1.942 5.826
Er 1.942 5.826 1.942
Er 5.826 1.942 1.942
Er 5.826 5.826 5.826
Zr 0.000 0.000 3.884
Zr 0.000 3.884 0.000
Zr 3.884 0.000 0.000
Zr 3.884 3.884 3.884
```

Record 5
The following is a DFT calculation (PBE) of a relaxed PaVTcRh crystal.

Summary:
Energy relative to the elements   -20.43 kJ/mol of atoms
E_tot   -9.295 eV per atom
Total moment   7.53 Bohr magnetons per cell

```
16
Lattice="6.521 0.000 0.000 0.000 6.521 0.000 0.000 0.000 6.521" Properties=species:S:1:pos:R:3 pbc="T T T"
Pa 0.000 0.000 0.000
Pa 0.000 3.261 3.261
Pa 3.261 0.000 3.261
Pa 3.261 3.261 0.000
V 0.000 0.000 3.261
V 0.000 3.261 0.000
V 3.261 0.000 0.000
V 3.261 3.261 3.261
Tc 1.630 1.630 1.630
Tc 1.630 4.891 4.891
Tc 4.891 1.630 4.891
Tc 4.891 4.891 1.630
Rh 1.630 1.630 4.891
Rh 1.630 4.891 1.630
Rh 4.891 1.630 1.630
Rh 4.891 4.891 4.891
```

Record 6
The following is a DFT calculation (PBE) of a relaxed GaCu2As crystal.

Summary:
Energy relative to the elements   13.46 kJ/mol of atoms
E_tot   -3.828 eV per atom
Total moment   0.00 Bohr magnetons per cell

```
16
Lattice="6.241 0.000 0.000 0.000 6.241 0.000 0.000 0.000 6.241" Properties=species:S:1:pos:R:3 pbc="T T T"
Ga 0.000 0.000 0.000
Ga 0.000 3.121 3.121
Ga 3.121 0.000 3.121
Ga 3.121 3.121 0.000
Cu 1.560 1.560 1.560
Cu 1.560 1.560 4.681
Cu 1.560 4.681 1.560
Cu 1.560 4.681 4.681
Cu 4.681 1.560 1.560
Cu 4.681 1.560 4.681
Cu 4.681 4.681 1.560
Cu 4.681 4.681 4.681
As 0.000 0.000 3.121
As 0.000 3.121 0.000
As 3.121 0.000 0.000
As 3.121 3.121 3.121
```

Record 7
The following is a DFT calculation (PBE) of a relaxed MgBe2Os2 crystal.

Summary:
Energy relative to the elements   17.29 kJ/mol of atoms
E_tot   -6.122 eV per atom
Total moment   0.01 Bohr magnetons per cell

```
10
Lattice="6.991 0.000 0.000 0.000 6.991 0.000 0.000 0.000 2.666" Properties=species:S:1:pos:R:3 pbc="T T T"
Mg 0.000 0.000 0.000
Mg 3.496 3.496 0.000
Be 1.135 2.360 1.333
Be 2.360 5.856 1.333
Be 4.631 1.135 1.333
Be 5.856 4.631 1.333
Os 0.923 4.418 0.000
Os 2.573 0.923 0.000
Os 4.418 6.068 0.000
Os 6.068 2.573 0.000
```

Record 8
The following is a DFT calculation (PBE) of a relaxed CdSe5 crystal.

Summary:
Uncorrected formation energy   0.17 eV/atom
E_tot   -2.890 eV per atom
Total moment   0.00 Bohr magnetons per cell

```
12
Lattice="5.529 0.000 0.000 0.000 15.015 0.000 0.000 0.000 3.795" Properties=species:S:1:pos:R:3 pbc="T T T"
Cd 0.000 0.000 0.000
Cd 2.764 7.508 0.000
Se 0.000 3.727 1.898
Se 0.000 5.448 0.000
Se 0.000 7.508 1.898
Se 0.000 9.567 0.000
Se 0.000 11.288 1.898
Se 2.764 0.000 1.898
Se 2.764 2.060 0.000
Se 2.764 3.781 1.898
Se 2.764 11.234 1.898
Se 2.764 12.955 0.000
```

Record 9
The following is a DFT calculation (PBE) of a relaxed Ca3Pr5Mg12 crystal.

Summary:
Energy relative to the elements   58.03 kJ/mol of atoms
E_tot   -1.850 eV per atom
Total moment   0.00 Bohr magnetons per cell

```
80
Lattice="-9.232 9.232 9.232 9.232 -9.232 9.232 9.232 9.232 -9.232" Properties=species:S:1:pos:R:3 pbc="T T T"
Ca 4.616 2.308 0.000
Ca 9.232 4.616 -2.308
Ca 2.308 0.000 4.616
Ca 11.540 0.000 4.616
Ca 0.000 4.616 2.308
Ca 4.616 -2.308 9.232
Ca 4.616 11.540 0.000
Ca 9.232 4.616 6.924
Ca -2.308 9.232 4.616
Ca 6.924 9.232 4.616
Ca 0.000 4.616 11.540
Ca 4.616 6.924 9.232
Pr 0.000 0.000 0.000
Pr 4.616 4.616 -4.616
Pr 4.616 -4.616 4.616
Pr 9.232 0.000 0.000
Pr 13.848 2.308 0.000
Pr 9.232 -4.616 6.924
Pr 6.924 9.232 -4.616
Pr 6.924 0.000 4.616
Pr 4.616 6.924 0.000
Pr 9.232 4.616 2.308
Pr -4.616 4.616 4.616
Pr 0.000 9.232 0.000
Pr 0.000 0.000 9.232
Pr 4.616 4.616 4.616
Pr 0.000 4.616 6.924
Pr 4.616 2.308 9.232
Pr 2.308 9.232 4.616
Pr 2.308 0.000 13.848
Pr 0.000 13.848 2.308
Pr -4.616 6.924 9.232
Mg 9.271 -1.463 2.784
Mg 13.808 -1.832 3.153
Mg 12.016 -0.040 1.463
Mg 11.064 -3.153 4.576
Mg 2.784 0.040 1.463
Mg 11.064 6.079 -4.576
Mg 6.079 4.576 -1.832
Mg 7.768 2.784 -0.040
Mg 1.463 2.784 0.040
Mg 12.384 4.655 -1.832
Mg 0.040 1.463 2.784
Mg 4.576 -1.832 6.079
Mg 9.271 7.768 -2.784
Mg 4.576 1.832 3.153
Mg 3.153 4.576 1.832
Mg 10.695 6.448 -0.040
Mg 7.768 -2.784 9.271
Mg 6.079 -4.576 11.064
Mg 1.832 3.153 4.576
Mg 2.784 -0.040 7.768
Mg 2.784 9.271 -1.463
Mg 11.064 3.153 4.655
Mg 4.576 11.064 -3.153
Mg 9.271 1.463 6.448
Mg -0.040 7.768 2.784
Mg 4.655 -1.832 12.384
Mg -1.832 6.079 4.576
Mg 6.448 -0.040 10.695
Mg 6.448 9.271 1.463
Mg 7.400 6.079 4.655
Mg 3.153 13.808 -1.832
Mg 1.463 12.016 -0.040
Mg -1.463 2.784 9.271
Mg 6.079 4.655 7.400
Mg 4.655 7.400 6.079
Mg -0.040 1.463 12.016
Mg 4.655 11.064 3.153
Mg 9.192 7.768 6.448
Mg -3.153 4.576 11.064
Mg 7.768 6.448 9.192
Mg 1.463 6.448 9.271
Mg 3.153 4.655 11.064
Mg -1.832 3.153 13.808
Mg 6.448 9.192 7.768
Mg -1.832 12.384 4.655
Mg -2.784 9.271 7.768
Mg -4.576 11.064 6.079
Mg -0.040 10.695 6.448
```

Record 10
The following is a DFT calculation (PBE) of a relaxed Ba2ReAg2O6 crystal.

Summary:
Uncorrected formation energy   -1.60 eV/atom
E_tot   -6.299 eV per atom
Total moment   0.99 Bohr magnetons per cell

```
11
Lattice="3.239 -5.680 0.000 3.239 5.680 0.000 -1.533 0.000 6.374" Properties=species:S:1:pos:R:3 pbc="T T T"
Ba 3.239 3.798 0.000
Ba 3.239 -3.798 0.000
Re 3.239 0.000 0.000
Ag 2.473 1.448 3.187
Ag 2.473 -1.448 3.187
O 0.131 0.000 5.389
O 2.441 1.486 1.102
O 2.505 1.486 5.272
O 2.441 -1.486 1.102
O 2.505 -1.486 5.272
O 4.814 0.000 0.985
```

Record 11
The following is a DFT calculation (PBE) of a relaxed AsPbSN2 crystal.

Summary:
Uncorrected formation energy   1.04 eV/atom
E_tot   -4.790 eV per atom
Total moment   0.68 Bohr magnetons per cell

```
5
Lattice="3.982 0.000 0.000 0.000 3.982 0.000 0.000 0.000 5.690" Properties=species:S:1:pos:R:3 pbc="T T T"
As 0.000 0.000 0.000
Pb 1.991 1.991 2.845
S 0.000 0.000 2.845
N 0.000 1.991 0.000
N 1.991 0.000 0.000
```

Record 12
The following is a DFT calculation (PBE) of a relaxed AgGeH2Pt crystal.

Summary:
E_tot   -3.645 eV per atom
Total moment   0.00 Bohr magnetons per cell

```
5
Lattice="3.751 0.000 0.000 0.000 3.751 0.000 0.000 0.000 5.038" Properties=species:S:1:pos:R:3 pbc="T T T"
Ag 0.000 0.000 0.000
Ge 1.876 1.876 2.519
H 0.000 1.876 2.519
H 1.876 0.000 2.519
Pt 1.876 1.876 0.000
```

Record 13
The following is a DFT calculation (PBE) of a relaxed PmErCuHg crystal.

Summary:
Energy relative to the elements   -32.62 kJ/mol of atoms
E_tot   -3.766 eV per atom
Total moment   0.03 Bohr magnetons per cell

```
4
Lattice="3.569 0.000 0.000 0.000 3.569 0.000 0.000 0.000 7.511" Properties=species:S:1:pos:R:3 pbc="T T T"
Pm 0.000 0.000 0.000
Er 0.000 0.000 4.088
Cu 1.784 1.784 5.622
Hg 1.784 1.784 2.148
```

Record 14
The following is a DFT calculation (PBE) of a relaxed BaSr2Li2 crystal.

Summary:
Energy relative to the elements   2.21 kJ/mol of atoms
E_tot   -1.800 eV per atom
Total moment   0.00 Bohr magnetons per cell

```
10
Lattice="9.476 0.000 0.000 0.000 9.476 0.000 0.000 0.000 4.804" Properties=species:S:1:pos:R:3 pbc="T T T"
Ba 0.000 0.000 0.000
Ba 4.738 4.738 0.000
Sr 1.603 3.135 2.402
Sr 3.135 7.873 2.402
Sr 6.341 1.603 2.402
Sr 7.873 6.341 2.402
Li 1.103 5.841 0.000
Li 3.635 1.103 0.000
Li 5.841 8.373 0.000
Li 8.373 3.635 0.000
```

Record 15
The following is a DFT calculation (PBE) of a relaxed AgBPt3 crystal.

Summary:
Energy relative to the elements   -5.27 kJ/mol of atoms
E_tot   -5.585 eV per atom
Total moment   0.00 Bohr magnetons per cell

```
20
Lattice="0.000 5.527 5.527 5.527 0.000 5.527 5.527 5.527 0.000" Properties=species:S:1:pos:R:3 pbc="T T T"
Ag 0.000 0.000 0.000
Ag 2.764 2.764 0.000
Ag 2.764 0.000 2.764
Ag 0.000 2.764 2.764
B 5.527 2.764 2.764
B 2.764 5.527 2.764
B 2.764 2.764 5.527
B 5.527 5.527 5.527
Pt 4.146 4.146 1.932
Pt 4.146 1.932 4.146
Pt 6.359 4.146 4.146
Pt 6.909 6.909 4.696
Pt 6.909 4.696 6.909
Pt 9.123 6.909 6.909
Pt 1.932 4.146 4.146
Pt 4.146 6.359 4.146
Pt 4.146 4.146 6.359
Pt 4.696 6.909 6.909
Pt 6.909 9.123 6.909
Pt 6.909 6.909 9.123
```

Record 16
The following is a DFT calculation (PBE) of a relaxed PrNdSm3 crystal.

Summary:
Energy relative to the elements   2.94 kJ/mol of atoms
E_tot   -4.710 eV per atom
Total moment   0.00 Bohr magnetons per cell

```
10
Lattice="6.400 0.000 0.000 3.200 6.192 0.000 0.008 3.459 8.804" Properties=species:S:1:pos:R:3 pbc="T T T"
Pr 0.537 1.150 1.318
Pr 9.071 8.501 7.486
Nd 2.666 2.873 5.720
Nd 6.942 6.778 3.084
Sm 2.662 3.958 2.209
Sm 3.752 6.235 4.837
Sm 3.754 5.143 8.357
Sm 5.854 4.508 0.448
Sm 5.856 3.416 3.967
Sm 6.946 5.693 6.596
```

Record 17
The following is a DFT calculation (PBE) of a relaxed Cd4Hg4H3 crystal.

Summary:
E_tot   -1.145 eV per atom
Total moment   0.00 Bohr magnetons per cell

```
11
Lattice="11.523 0.000 0.000 0.000 1.659 5.890 0.000 -1.659 5.890" Properties=species:S:1:pos:R:3 pbc="T T T"
Cd 0.000 0.000 0.000
Cd 2.575 0.000 10.292
Cd 5.762 0.000 9.815
Cd 8.949 0.000 10.292
Hg 0.000 0.000 8.667
Hg 2.734 0.000 1.565
Hg 5.762 0.000 6.536
Hg 8.790 0.000 1.565
H 3.572 0.000 4.527
H 5.762 0.000 3.037
H 7.951 0.000 4.527
```

Record 18
The following is a DFT calculation (PBE) of a relaxed Tb2Nd3Er3 crystal.

Summary:
Energy relative to the elements   12.14 kJ/mol of atoms
E_tot   -4.531 eV per atom
Total moment   0.05 Bohr magnetons per cell

```
16
Lattice="5.958 0.000 0.000 0.000 5.965 0.000 0.000 0.000 14.757" Properties=species:S:1:pos:R:3 pbc="T T T"
Tb 0.000 0.000 3.661
Tb 0.000 0.000 11.097
Tb 2.979 2.982 3.718
Tb 2.979 2.982 11.039
Nd 0.000 0.000 7.379
Nd 0.000 2.982 5.475
Nd 0.000 2.982 9.282
Nd 2.979 0.000 1.904
Nd 2.979 0.000 12.854
Nd 2.979 2.982 0.000
Er 0.000 0.000 0.000
Er 0.000 2.982 1.837
Er 0.000 2.982 12.920
Er 2.979 0.000 5.542
Er 2.979 0.000 9.215
Er 2.979 2.982 7.379
```

Record 19
The following is a DFT calculation (PBE) of a relaxed VHg3Os crystal.

Summary:
Energy relative to the elements   123.08 kJ/mol of atoms
E_tot   -2.975 eV per atom
Total moment   3.65 Bohr magnetons per cell

```
5
Lattice="5.188 0.000 0.000 0.000 5.188 0.000 0.000 0.000 5.188" Properties=species:S:1:pos:R:3 pbc="T T T"
V 0.000 0.000 0.000
Hg 0.000 2.594 2.594
Hg 2.594 0.000 2.594
Hg 2.594 2.594 0.000
Os 2.594 2.594 2.594
```

Record 20
The following is a DFT calculation (PBE) of a relaxed NaLi2Sb3 crystal.

Summary:
Uncorrected formation energy   -0.38 eV/atom
E_tot   -3.295 eV per atom
Total moment   0.00 Bohr magnetons per cell

```
6
Lattice="3.217 0.000 0.000 0.000 3.217 0.000 0.000 0.000 13.412" Properties=species:S:1:pos:R:3 pbc="T T T"
Na 0.000 0.000 0.000
Li 0.000 0.000 4.569
Li 0.000 0.000 8.842
Sb 1.608 1.608 2.468
Sb 1.608 1.608 6.706
Sb 1.608 1.608 10.943
```